Entry 1:
Density functional theory data (PBE) for a relaxed structure of Th4CdIn2.

Properties
- V: 31.11 Å³/atom
- Crystal system: trigonal
- Space group: No. 166
- Electronic total energy: -5.1520 eV/atom

POSCAR file:
```
Th4CdIn2
1.0
2.693 1.555 8.667
-2.693 1.555 8.667
0.000 -3.110 8.667
Th Cd In
4 1 2
direct
0.118 0.118 0.118
0.370 0.370 0.370
0.630 0.630 0.630
0.882 0.882 0.882
0.500 0.500 0.500
0.248 0.248 0.248
0.752 0.752 0.752
```


Entry 2:
Density functional theory data (PBE) for a relaxed structure of PS.

Properties
- V: 30.24 Å³/atom
- Formation energy from raw total energies: -3.17 kcal/mol of atoms
- Crystal system: monoclinic
- Space group: No. 15
- Polymorph energy (0 for the lowest one): 0 meV/atom

POSCAR file:
```
PS
1.0
5.380 -4.812 0.000
5.380 4.812 0.000
-2.130 0.000 9.343
P S
8 8
direct
0.194 0.793 0.580
0.207 0.806 0.920
0.236 0.484 0.644
0.484 0.236 0.144
0.516 0.764 0.856
0.764 0.516 0.356
0.793 0.194 0.080
0.806 0.207 0.420
0.058 0.942 0.750
0.113 0.536 0.835
0.464 0.887 0.665
0.481 0.519 0.250
0.519 0.481 0.750
0.536 0.113 0.335
0.887 0.464 0.165
0.942 0.058 0.250
```


Entry 3:
Density functional theory data (PBE) for a relaxed structure of AlTl2Cr.

Properties
- V: 22.22 Å³/atom
- Crystal system: tetragonal
- Space group: No. 119
- Polymorph energy (0 for the lowest one): 186 meV/atom

POSCAR file:
```
AlTl2Cr
1.0
4.349 0.000 0.000
0.000 4.349 0.000
0.000 0.000 9.398
Al Tl Cr
2 4 2
direct
0.000 0.000 0.000
0.500 0.500 0.500
0.000 0.000 0.500
0.000 0.500 0.250
0.500 0.000 0.750
0.500 0.500 0.000
0.000 0.500 0.750
0.500 0.000 0.250
```